(1)
DFT (SCAN) results for a crystal of ScCoH3 relaxed with PBEsol.

Unit cell a=3.304 b=3.304 c=3.304 alpha=90.00 beta=90.00 gamma=90.00
Space group Pm-3m (No. 221)
Unique sites:
Sc1 0.000 0.000 0.000 (multiplicity 1)
Co1 0.500 0.500 0.500 (multiplicity 1)
H1 0.000 0.500 0.500 (multiplicity 3)

total DFT energy (no corrections)	-8.8130	eV/atom



(2)
DFT (SCAN) results for a crystal of ScCoH3 relaxed with PBEsol.

Unit cell a=3.568 b=3.568 c=3.568 alpha=90.00 beta=90.00 gamma=90.00
Space group Pm-3m (No. 221)
Unique sites:
Sc1 0.000 0.000 0.000 (multiplicity 1)
Co1 0.500 0.500 0.500 (multiplicity 1)
H1 0.000 0.000 0.500 (multiplicity 3)

total DFT energy (no corrections)	-8.2143	eV/atom



(3)
DFT (SCAN) results for a crystal of Sc2CoH2 relaxed with PBEsol.

Unit cell a=3.109 b=3.109 c=11.461 alpha=90.00 beta=90.00 gamma=90.00
Space group I4/mmm (No. 139)
Unique sites:
Sc1 0.000 0.000 0.137 (multiplicity 4)
Co1 0.000 0.000 0.500 (multiplicity 2)
H1 0.000 0.500 0.250 (multiplicity 4)

total DFT energy (no corrections)	-11.0332	eV/atom